# 1
{"formula": "CeErTmPa", "functional": "PBE", "state": "relaxed", "delta_e_f_mev_per_atom": 354, "crystal_system": "cubic", "dft_energy_ev_per_atom": -5.76, "lattice_angstrom": [[0.000, 3.882, 3.882], [3.882, 0.000, 3.882], [3.882, 3.882, 0.000]], "species": ["Ce", "Er", "Tm", "Pa"], "frac_coords": [[0.000, 0.000, 0.000], [0.500, 0.500, 0.500], [0.750, 0.750, 0.750], [0.250, 0.250, 0.250]]}

---

# 2
{"formula": "CeErZrPa", "functional": "PBE", "state": "relaxed", "delta_e_f_mev_per_atom": 271, "crystal_system": "cubic", "dft_energy_ev_per_atom": -6.86, "lattice_angstrom": [[0.000, 3.738, 3.738], [3.738, 0.000, 3.738], [3.738, 3.738, 0.000]], "species": ["Ce", "Er", "Zr", "Pa"], "frac_coords": [[0.000, 0.000, 0.000], [0.250, 0.250, 0.250], [0.500, 0.500, 0.500], [0.750, 0.750, 0.750]]}

---

# 3
{"formula": "Ce8ErPb6", "functional": "PBE", "state": "relaxed", "delta_e_f_mev_per_atom": -202, "crystal_system": "trigonal", "dft_energy_ev_per_atom": -5.15, "lattice_angstrom": [[4.753, 2.744, 6.572], [-4.753, 2.744, 6.572], [0.000, -5.488, 6.572]], "species": ["Ce", "Ce", "Ce", "Ce", "Ce", "Ce", "Ce", "Ce", "Er", "Pb", "Pb", "Pb", "Pb", "Pb", "Pb"], "frac_coords": [[0.062, 0.408, 0.749], [0.165, 0.165, 0.165], [0.251, 0.938, 0.592], [0.408, 0.749, 0.062], [0.592, 0.251, 0.938], [0.749, 0.062, 0.408], [0.835, 0.835, 0.835], [0.938, 0.592, 0.251], [0.500, 0.500, 0.500], [0.105, 0.750, 0.426], [0.250, 0.574, 0.895], [0.426, 0.105, 0.750], [0.574, 0.895, 0.250], [0.750, 0.426, 0.105], [0.895, 0.250, 0.574]]}